LiIn3Pd6: optimized geometry, PBE-GGA.

Unit cell a=7.7875 b=13.0109 c=7.0388 alpha=90.00 beta=90.00 gamma=90.00
Last column: nearest neighbours and their distance in Å.
Space group Cmc2_1 (No. 36)
Inequivalent atoms, fractional coordinates:
Li (0.0000, 0.2157, 0.0000) (multiplicity 4)  8 Pd 2.66-2.83
In (0.0000, 0.4683, 0.2981) (multiplicity 4)  6 Pd 2.74-2.87
In (0.1984, 0.1114, 0.4650) (multiplicity 8)  7 Pd 2.68-2.87
Pd (0.0000, 0.0469, 0.7870) (multiplicity 4)  1 Li 2.66, 4 In 2.86-2.87, 4 Pd 2.93-2.97
Pd (0.0000, 0.2678, 0.6214) (multiplicity 4)  1 Li 2.75, 6 Pd 2.75-2.84, 2 In 2.78
Pd (0.1938, 0.2930, 0.2831) (multiplicity 8)  3 In 2.69-2.74, 2 Li 2.69-2.83, 3 Pd 2.76-2.84
Pd (0.2427, 0.4207, 0.5920) (multiplicity 8)  4 In 2.68-2.87, 4 Pd 2.75-2.97, 1 Li 2.75

Calculated values
Total energy ... -44.82 eV per formula unit
D(E_F) ... 5.456 states/eV/f.u.

LiIn3Pd12: optimized geometry, PBE-GGA.

Unit cell a=4.0210 b=4.0210 c=15.8496 alpha=90.00 beta=90.00 gamma=90.00
Last column: nearest neighbours and their distance in Å.
Space group P4/mmm (No. 123)
Inequivalent atoms, fractional coordinates:
Li (0.0000, 0.0000, 0.0000) (multiplicity 1)  12 Pd 2.74-2.84
In (0.0000, 0.0000, 0.2447) (multiplicity 2)  12 Pd 2.84-2.85
In (0.0000, 0.0000, 0.5000) (multiplicity 1)  12 Pd 2.84-2.86
Pd (0.0000, 0.5000, 0.1176) (multiplicity 4)  2 Li 2.74, 8 Pd 2.74-2.84, 2 In 2.85
Pd (0.0000, 0.5000, 0.3716) (multiplicity 4)  8 Pd 2.84-2.86, 4 In 2.84-2.86
Pd (0.5000, 0.5000, 0.0000) (multiplicity 1)  8 Pd 2.74, 4 Li 2.84
Pd (0.5000, 0.5000, 0.2430) (multiplicity 2)  8 Pd 2.83-2.86, 4 In 2.84
Pd (0.5000, 0.5000, 0.5000) (multiplicity 1)  4 In 2.84, 8 Pd 2.86

Calculated values
Total energy ... -78.48 eV per formula unit
D(E_F) ... 17.759 states/eV/f.u.

Li2InPd8: optimized geometry, PBE-GGA.

Unit cell a=14.0654 b=4.0078 c=6.2369 alpha=90.00 beta=106.42 gamma=90.00
Last column: nearest neighbours and their distance in Å.
Space group C2/m (No. 12)
Inequivalent atoms, fractional coordinates:
Li (0.2268, 0.0000, 0.1441) (multiplicity 4)  10 Pd 2.69-2.79, 2 Li 2.89
In (0.0000, 0.5000, 0.5000) (multiplicity 2)  12 Pd 2.78-2.85
Pd (0.0477, 0.0000, 0.2253) (multiplicity 4)  1 Li 2.71, 9 Pd 2.75-2.86, 2 In 2.84
Pd (0.0960, 0.5000, 0.9613) (multiplicity 4)  3 Li 2.74-2.75, 8 Pd 2.74-2.87, 1 In 2.81
Pd (0.1420, 0.0000, 0.6962) (multiplicity 4)  3 Li 2.71-2.72, 7 Pd 2.73-2.86, 2 In 2.85
Pd (0.1834, 0.5000, 0.4144) (multiplicity 4)  3 Li 2.69-2.79, 8 Pd 2.73-2.83, 1 In 2.78

Calculated values
Total energy ... -51.65 eV per formula unit
D(E_F) ... 9.259 states/eV/f.u.

Li6InPd: optimized geometry, PBE-GGA.

Unit cell a=4.7251 b=5.6545 c=10.0632 alpha=90.00 beta=90.00 gamma=90.00
Last column: nearest neighbours and their distance in Å.
Space group Amm2 (No. 38)
Inequivalent atoms, fractional coordinates:
Li (0.0000, 0.0000, 0.0000) (multiplicity 2)  10 Li 2.82-2.95, 2 In 2.83
Li (0.0000, 0.2341, 0.7526) (multiplicity 4)  7 Li 2.65-2.95, 1 In 2.80, 2 Pd 2.85
Li (0.5000, 0.0000, 0.1632) (multiplicity 2)  2 Pd 2.83, 10 Li 2.86-2.94
Li (0.5000, 0.2455, 0.4112) (multiplicity 4)  8 Li 2.78-2.92, 2 Pd 2.87-2.90, 2 In 2.91
In (0.0000, 0.0000, 0.5075) (multiplicity 2)  10 Li 2.80-2.97, 2 Pd 2.84
Pd (0.5000, 0.0000, 0.6642) (multiplicity 2)  10 Li 2.83-2.90, 2 In 2.84

Calculated values
Total energy ... -21.40 eV per formula unit
D(E_F) ... 3.051 states/eV/f.u.

Li3In2Pd2: optimized geometry, PBE-GGA.

Unit cell a=4.4316 b=2.9361 c=9.6665 alpha=90.00 beta=103.21 gamma=90.00
Last column: nearest neighbours and their distance in Å.
Space group P2/m (No. 10)
Inequivalent atoms, fractional coordinates:
Li (0.0000, 0.0000, 0.0000) (multiplicity 1)  2 Pd 2.61
Li (0.2820, 0.0000, 0.5643) (multiplicity 2)  2 Li 2.52, 3 Pd 2.67-2.70
In (0.4162, 0.5000, 0.8318) (multiplicity 2)  4 Pd 2.85, 6 Li 2.91-3.09, 3 In 2.94-3.17
Pd (0.1383, 0.0000, 0.2772) (multiplicity 2)  4 Li 2.61-2.70, 4 In 2.85

Calculated values
Total energy ... -24.09 eV per formula unit
D(E_F) ... 2.844 states/eV/f.u.

Li12In3Pd: optimized geometry, PBE-GGA.

Unit cell a=4.1009 b=4.1009 c=16.9780 alpha=90.00 beta=90.00 gamma=90.00
Last column: nearest neighbours and their distance in Å.
Space group P4/mmm (No. 123)
Inequivalent atoms, fractional coordinates:
Li (0.0000, 0.0000, 0.0000) (multiplicity 1)  8 Li 2.73, 4 Pd 2.90
Li (0.0000, 0.0000, 0.2382) (multiplicity 2)  4 In 2.90, 8 Li 3.01-3.04
Li (0.0000, 0.0000, 0.5000) (multiplicity 1)  4 In 2.90, 8 Li 3.03
Li (0.0000, 0.5000, 0.1060) (multiplicity 4)  8 Li 2.73-3.04, 2 Pd 2.73, 2 In 3.02
Li (0.0000, 0.5000, 0.3683) (multiplicity 4)  8 Li 2.90-3.03, 4 In 3.03
In (0.5000, 0.5000, 0.2368) (multiplicity 2)  12 Li 2.90-3.03
In (0.5000, 0.5000, 0.5000) (multiplicity 1)  12 Li 2.90-3.03
Pd (0.5000, 0.5000, 0.0000) (multiplicity 1)  12 Li 2.73-2.90

Calculated values
Total energy ... -39.75 eV per formula unit
D(E_F) ... 7.097 states/eV/f.u.

Li2InPd7: optimized geometry, PBE-GGA.

Unit cell a=7.2970 b=11.4215 c=4.2611 alpha=90.00 beta=90.00 gamma=90.00
Last column: nearest neighbours and their distance in Å.
Space group Cmmm (No. 65)
Inequivalent atoms, fractional coordinates:
Li (0.0000, 0.1980, 0.0000) (multiplicity 4)  7 Pd 2.25-2.48
In (0.0000, 0.5000, 0.5000) (multiplicity 2)  10 Pd 2.73-2.89
Pd (0.0000, 0.0000, 0.0000) (multiplicity 2)  2 Li 2.26
Pd (0.0000, 0.2609, 0.5000) (multiplicity 4)  2 Li 2.25
Pd (0.1890, 0.3781, 0.0000) (multiplicity 8)  2 Li 2.43-2.48, 1 Pd 2.66

Calculated values
Total energy ... -41.46 eV per formula unit
D(E_F) ... 6.979 states/eV/f.u.

LiIn3Pd3: optimized geometry, PBE-GGA.

Unit cell a=9.1287 b=9.1287 c=5.5554 alpha=90.00 beta=90.00 gamma=120.00
Last column: nearest neighbours and their distance in Å.
Space group R3m (No. 160, hexagonal axes)
Inequivalent atoms, fractional coordinates:
Li (0.0000, 0.0000, 0.0000) (multiplicity 3)  6 Pd 2.79
In (0.9999, 0.4999, 0.9989) (multiplicity 9)  6 Pd 2.78-2.79
Pd (0.0001, 0.5000, 0.4990) (multiplicity 9)  6 In 2.78-2.79, 2 Li 2.79

Calculated values
Total energy ... -29.04 eV per formula unit
D(E_F) ... 3.655 states/eV/f.u.

Li2In2Pd3: optimized geometry, PBE-GGA.

Unit cell a=4.1865 b=4.8746 c=6.5260 alpha=79.09 beta=89.83 gamma=64.60
Last column: nearest neighbours and their distance in Å.
Space group P-1 (No. 2)
Inequivalent atoms, fractional coordinates:
Li (0.1490, 0.2020, 0.4145) (multiplicity 2)  4 Pd 2.73-2.81, 3 Li 2.82-3.06, 3 In 2.86-2.89
In (0.4290, 0.6413, 0.2576) (multiplicity 2)  6 Pd 2.74-2.84, 3 Li 2.86-2.89
Pd (0.0000, 0.5000, 0.0000) (multiplicity 1)  2 Li 2.75, 4 In 2.83-2.84, 6 Pd 2.85-2.93
Pd (0.2746, 0.9498, 0.8340) (multiplicity 2)  3 Li 2.73-2.81, 4 In 2.74-2.82, 3 Pd 2.85-2.93

Calculated values
Total energy ... -28.28 eV per formula unit
D(E_F) ... 2.518 states/eV/f.u.

Li3In3Pd2: optimized geometry, PBE-GGA.

Unit cell a=4.6057 b=4.6057 c=22.6084 alpha=90.00 beta=90.00 gamma=120.00
Last column: nearest neighbours and their distance in Å.
Space group R3m (No. 160, hexagonal axes)
Inequivalent atoms, fractional coordinates:
Li (0.0000, 0.0000, 0.0000) (multiplicity 3)  4 Li 2.81-2.82, 4 Pd 2.83-2.84
Li (0.0000, 0.0000, 0.1249) (multiplicity 3)  1 Li 2.82, 7 In 2.84-2.96
Li (0.0000, 0.0000, 0.6270) (multiplicity 3)  5 In 2.73-2.83, 3 Li 2.81
In (0.0000, 0.0000, 0.2557) (multiplicity 3)  4 Pd 2.76-2.87, 4 Li 2.79-2.96
In (0.0000, 0.0000, 0.5018) (multiplicity 3)  4 Pd 2.80-2.81, 4 Li 2.83-2.84
In (0.0000, 0.0000, 0.7476) (multiplicity 3)  4 Li 2.73-2.84, 4 Pd 2.78-2.88
Pd (0.0000, 0.0000, 0.3777) (multiplicity 3)  5 In 2.76-2.80, 3 Li 2.84
Pd (0.0000, 0.0000, 0.8750) (multiplicity 3)  7 In 2.81-2.88, 1 Li 2.83

Calculated values
Total energy ... -28.30 eV per formula unit
D(E_F) ... 2.227 states/eV/f.u.

LiInPd4: optimized geometry, PBE-GGA.

Unit cell a=8.2301 b=7.6124 c=6.3593 alpha=90.00 beta=108.88 gamma=90.00
Last column: nearest neighbours and their distance in Å.
Space group C2/m (No. 12)
Inequivalent atoms, fractional coordinates:
Li (0.0963, 0.0000, 0.3519) (multiplicity 4)  9 Pd 2.65-2.84, 1 Li 2.83
In (0.2337, 0.5000, 0.0021) (multiplicity 4)  10 Pd 2.77-2.85, 2 Li 3.01-3.09
Pd (0.0000, 0.2225, 0.0000) (multiplicity 4)  2 Li 2.71, 4 In 2.77-2.85, 6 Pd 2.90-2.92
Pd (0.0823, 0.5000, 0.3348) (multiplicity 4)  1 Li 2.75, 9 Pd 2.75-2.92, 2 In 2.78
Pd (0.1645, 0.2476, 0.6617) (multiplicity 8)  3 Li 2.65-2.84, 7 Pd 2.75-2.91, 2 In 2.77-2.81

Calculated values
Total energy ... -28.08 eV per formula unit
D(E_F) ... 2.894 states/eV/f.u.

LiIn2Pd: optimized geometry, PBE-GGA.

Unit cell a=4.5776 b=4.5776 c=14.0928 alpha=90.00 beta=90.00 gamma=120.00
Last column: nearest neighbours and their distance in Å.
Space group R3m (No. 160, hexagonal axes)
Inequivalent atoms, fractional coordinates:
Li (0.0000, 0.0000, 0.0000) (multiplicity 3)  1 Pd 2.68, 3 In 2.97
In (0.0000, 0.0000, 0.5704) (multiplicity 3)  3 Pd 2.72, 3 Li 2.97, 1 In 3.00
In (0.0000, 0.0000, 0.7831) (multiplicity 3)  3 Pd 2.84, 4 In 3.00-3.14, 4 Li 3.06-3.11
Pd (0.0000, 0.0000, 0.1901) (multiplicity 3)  1 Li 2.68, 6 In 2.72-2.84

Calculated values
Total energy ... -14.05 eV per formula unit
D(E_F) ... 0.807 states/eV/f.u.

Question: Look up the total energy of the sixth one.
Answer: -39.75 eV per formula unit